# SmPaTcIr, relaxed, DFT PBE
data_SmPaTcIr
_chemical_formula_sum 'Sm4 Pa4 Tc4 Ir4'
_space_group_name_H-M_alt 'F -4 3 m'
_space_group_IT_number 216
_space_group_name_Hall 'F -4 2 3'
_cell_length_a 6.9434
_cell_length_b 6.9434
_cell_length_c 6.9434
_cell_angle_alpha 90.00
_cell_angle_beta 90.00
_cell_angle_gamma 90.00
loop_
_atom_site_label
_atom_site_type_symbol
_atom_site_fract_x
_atom_site_fract_y
_atom_site_fract_z
Sm1 Sm 0.0000 0.0000 0.0000
Pa1 Pa 0.0000 0.0000 0.5000
Tc1 Tc 0.2500 0.2500 0.2500
Ir1 Ir 0.2500 0.2500 0.7500
# DFT total energy (eV/atom): -8.6759
# Mass density (g/cm3): 13.3
# Total moment (μB/atom): 0.00
# Energy of formation from the pure elements (eV/f.u.): -1.3

***

# Cs3Ac2LaTe6, relaxed, DFT PBE
data_Cs3Ac2LaTe6
_chemical_formula_sum 'Cs6 Ac4 La2 Te12'
_space_group_name_H-M_alt 'C 1 2/m 1'
_space_group_IT_number 12
_cell_length_a 8.4240
_cell_length_b 14.5902
_cell_length_c 9.3958
_cell_angle_alpha 90.00
_cell_angle_beta 107.39
_cell_angle_gamma 90.00
loop_
_space_group_symop_operation_xyz
'x,y,z'
'-x,-y,-z'
'-x,y,-z'
'x,-y,z'
'x+1/2,y+1/2,z'
'-x+1/2,-y+1/2,-z'
'-x+1/2,y+1/2,-z'
'x+1/2,-y+1/2,z'
loop_
_atom_site_label
_atom_site_type_symbol
_atom_site_fract_x
_atom_site_fract_y
_atom_site_fract_z
Cs1 Cs 0.0000 0.0000 0.0000
Cs2 Cs 0.0000 0.3318 0.0000
Ac1 Ac 0.0000 0.1665 0.5000
La1 La 0.0000 0.5000 0.5000
Te1 Te 0.2296 0.3369 0.6997
Te2 Te 0.2407 0.0000 0.7003
# E_form (uncorrected) (eV per atom): -1.50
# DFT total energy (eV/atom): -4.3821
# Mass density (g/cm3): 5.3
# Total moment (μB/atom): 0.00

***

# Na3U2AuS6, relaxed, DFT PBE
data_Na3U2AuS6
_chemical_formula_sum 'Na6 U4 Au2 S12'
_space_group_name_H-M_alt 'C 1 2/m 1'
_space_group_IT_number 12
_cell_length_a 17.7387
_cell_length_b 3.9663
_cell_length_c 7.9978
_cell_angle_alpha 90.00
_cell_angle_beta 108.18
_cell_angle_gamma 90.00
loop_
_space_group_symop_operation_xyz
'x,y,z'
'-x,-y,-z'
'-x,y,-z'
'x,-y,z'
'x+1/2,y+1/2,z'
'-x+1/2,-y+1/2,-z'
'-x+1/2,y+1/2,-z'
'x+1/2,-y+1/2,z'
loop_
_atom_site_label
_atom_site_type_symbol
_atom_site_fract_x
_atom_site_fract_y
_atom_site_fract_z
Na1 Na 0.0000 0.0000 0.0000
Na2 Na 0.1598 0.5000 0.3208
U1 U 0.1586 0.5000 0.8080
Au1 Au 0.0000 0.0000 0.5000
S1 S 0.0059 0.5000 0.7401
S2 S 0.1722 0.0000 0.5925
S3 S 0.1750 0.0000 0.0563
# E_form (uncorrected) (eV per atom): -1.12
# DFT total energy (eV/atom): -5.6701
# Mass density (g/cm3): 5.8
# Total moment (μB/atom): 0.33

***

# NaDyHo2Se4, relaxed, DFT PBE
data_NaDyHo2Se4
_chemical_formula_sum 'Na1 Dy1 Ho2 Se4'
_space_group_name_H-M_alt 'P 1 2/m 1'
_space_group_IT_number 10
_cell_length_a 7.1015
_cell_length_b 4.0568
_cell_length_c 7.1017
_cell_angle_alpha 90.00
_cell_angle_beta 108.94
_cell_angle_gamma 90.00
loop_
_space_group_symop_operation_xyz
'x,y,z'
'-x,-y,-z'
'-x,y,-z'
'x,-y,z'
loop_
_atom_site_label
_atom_site_type_symbol
_atom_site_fract_x
_atom_site_fract_y
_atom_site_fract_z
Na1 Na 0.0000 0.0000 0.0000
Dy1 Dy 0.5000 0.5000 0.0000
Ho1 Ho 0.0000 0.5000 0.5000
Ho2 Ho 0.5000 0.0000 0.5000
Se1 Se 0.2492 0.0000 0.7484
Se2 Se 0.2541 0.5000 0.2553
# E_form (uncorrected) (eV per atom): -1.72
# DFT total energy (eV/atom): -5.3480
# Mass density (g/cm3): 7.1
# Total moment (μB/atom): 0.00